The following is a GGA-PBE calculation of a relaxed structure of CePrSn, from Alexandria via LeMat-Bulk.

abc: 12.731 12.731 12.731
angles: 162.41 162.41 24.98
Atoms (fractional coordinates):
Ce (0.222, 0.222, 0.000)
Ce (0.778, 0.778, 0.000)
Pr (0.073, 0.073, 0.000)
Pr (0.927, 0.927, 0.000)
Sn (0.352, 0.352, 0.000)
Sn (0.648, 0.648, 0.000)

Values from the calculation:
As for the magnetic moment: 1.8 Bohr magnetons per cell. As for the space group: I4/mmm, No. 139. For the density of states at the Fermi level, the calculation gives 1.915 states/eV per atom. The value obtained for the distance to the lowest polymorph of the same formula is 242 meV per atom. As for the formation energy: -0.3193 eV per atom.

=====

The following is a GGA-PBE calculation of a relaxed structure of La2CrSi, from Alexandria via LeMat-Bulk.

abc: 6.606 6.606 6.606
angles: 102.99 102.99 123.40
Atoms (fractional coordinates):
La (0.123, 0.625, 0.998)
La (0.375, 0.373, 0.498)
La (0.627, 0.125, 0.002)
La (0.875, 0.877, 0.502)
Cr (0.250, 0.750, 0.500)
Cr (0.500, 0.500, 0.000)
Si (0.000, 0.000, 0.000)
Si (0.750, 0.250, 0.500)

Values from the calculation:
As for the magnetic moment: 7.0 Bohr magnetons per cell. As for the space group: I-42d, No. 122. The raw formation energy comes out at 313.5 meV/atom. For the density of states at the Fermi level, the calculation gives 1.164 states/eV per atom.

=====

The following is a GGA-PBE calculation of a relaxed structure of Nb11Ru9Rh4, from Alexandria via LeMat-Bulk.

abc: 11.545 11.545 3.053
angles: 90.00 90.00 107.71
Atoms (fractional coordinates):
Nb (0.000, 0.000, 0.000)
Nb (0.068, 0.415, 0.000)
Nb (0.191, 0.809, 0.000)
Nb (0.198, 0.198, 0.000)
Nb (0.379, 0.621, 0.000)
Nb (0.415, 0.068, 0.000)
Nb (0.585, 0.932, 0.000)
Nb (0.621, 0.379, 0.000)
Nb (0.802, 0.802, 0.000)
Nb (0.809, 0.191, 0.000)
Nb (0.932, 0.585, 0.000)
Ru (0.005, 0.215, 0.500)
Ru (0.166, 0.613, 0.500)
Ru (0.215, 0.005, 0.500)
Ru (0.387, 0.834, 0.500)
Ru (0.500, 0.500, 0.500)
Ru (0.613, 0.166, 0.500)
Ru (0.785, 0.995, 0.500)
Ru (0.834, 0.387, 0.500)
Ru (0.995, 0.785, 0.500)
Rh (0.258, 0.407, 0.500)
Rh (0.407, 0.258, 0.500)
Rh (0.593, 0.742, 0.500)
Rh (0.742, 0.593, 0.500)

Values from the calculation:
As for the magnetic moment: 0.4 Bohr magnetons per cell. As for the space group: Cmmm, No. 65. For the density of states at the Fermi level, the calculation gives 0.892 states/eV per atom. As for the formation energy: -0.2484 eV per atom.

=====

The following is a GGA-PBE calculation of a relaxed structure of CeTh3Pb5, from Alexandria via LeMat-Bulk.

abc: 9.840 9.840 6.510
angles: 90.00 90.00 120.00
Atoms (fractional coordinates):
Ce (0.000, 0.000, 0.000)
Ce (0.000, 0.000, 0.500)
Th (0.000, 0.383, 0.250)
Th (0.000, 0.617, 0.750)
Th (0.383, 0.000, 0.250)
Th (0.383, 0.383, 0.750)
Th (0.617, 0.000, 0.750)
Th (0.617, 0.617, 0.250)
Pb (0.000, 0.283, 0.750)
Pb (0.000, 0.717, 0.250)
Pb (0.283, 0.000, 0.750)
Pb (0.283, 0.283, 0.250)
Pb (0.333, 0.667, 0.000)
Pb (0.333, 0.667, 0.500)
Pb (0.667, 0.333, 0.000)
Pb (0.667, 0.333, 0.500)
Pb (0.717, 0.000, 0.250)
Pb (0.717, 0.717, 0.750)

Values from the calculation:
As for the magnetic moment: 0.9 Bohr magnetons per cell. As for the space group: P6_3/mcm, No. 193. For the density of states at the Fermi level, the calculation gives 1.264 states/eV per atom. As for the formation energy: -0.3220 eV per atom.

=====

The following is a GGA-PBE calculation of a relaxed structure of ZrBeRe, from Alexandria via LeMat-Bulk.

abc: 4.964 4.964 4.964
angles: 141.86 141.86 55.04
Atoms (fractional coordinates):
Zr (0.000, 0.000, 0.000)
Be (0.300, 0.300, 0.000)
Re (0.692, 0.692, 0.000)

Values from the calculation:
As for the magnetic moment: 0.0 Bohr magnetons per cell. As for the space group: I4mm, No. 107. For the density of states at the Fermi level, the calculation gives 0.986 states/eV per atom. The value obtained for the distance to the lowest polymorph of the same formula is 240 meV per atom. As for the formation energy: -0.0350 eV per atom.

=====

The following is a GGA-PBE calculation of a relaxed structure of KNaAg10, from Alexandria via LeMat-Bulk.

abc: 4.687 5.678 9.884
angles: 90.00 90.00 90.00
Atoms (fractional coordinates):
K (0.000, 0.000, 0.000)
Na (0.000, 0.500, 0.500)
Ag (0.000, 0.000, 0.341)
Ag (0.000, 0.000, 0.659)
Ag (0.000, 0.500, 0.177)
Ag (0.000, 0.500, 0.823)
Ag (0.500, 0.000, 0.500)
Ag (0.500, 0.252, 0.254)
Ag (0.500, 0.252, 0.746)
Ag (0.500, 0.500, 0.000)
Ag (0.500, 0.748, 0.254)
Ag (0.500, 0.748, 0.746)

Values from the calculation:
As for the magnetic moment: 0.0 Bohr magnetons per cell. As for the space group: Pmmm, No. 47. For the density of states at the Fermi level, the calculation gives 0.241 states/eV per atom. As for the formation energy: -0.0015 eV per atom.

=====

The following is a GGA-PBE calculation of a relaxed structure of Fe4HgCl, from Alexandria via LeMat-Bulk.

abc: 5.118 5.118 5.118
angles: 60.00 60.00 60.00
Atoms (fractional coordinates):
Fe (0.123, 0.123, 0.123)
Fe (0.123, 0.123, 0.630)
Fe (0.123, 0.630, 0.123)
Fe (0.630, 0.123, 0.123)
Hg (0.750, 0.750, 0.750)
Cl (0.500, 0.500, 0.500)

Values from the calculation:
As for the magnetic moment: 12.0 Bohr magnetons per cell. As for the space group: F-43m, No. 216. The raw formation energy comes out at 546.3 meV/atom. For the density of states at the Fermi level, the calculation gives 0.799 states/eV per atom.

=====

The following is a GGA-PBE calculation of a relaxed structure of Na4Tl15Cd, from Alexandria via LeMat-Bulk.

abc: 4.837 4.837 24.796
angles: 90.00 90.00 90.00
Atoms (fractional coordinates):
Na (0.000, 0.000, 0.100)
Na (0.000, 0.000, 0.299)
Na (0.000, 0.000, 0.701)
Na (0.000, 0.000, 0.900)
Tl (0.000, 0.500, 0.000)
Tl (0.000, 0.500, 0.199)
Tl (0.000, 0.500, 0.401)
Tl (0.000, 0.500, 0.599)
Tl (0.000, 0.500, 0.801)
Tl (0.500, 0.000, 0.000)
Tl (0.500, 0.000, 0.199)
Tl (0.500, 0.000, 0.401)
Tl (0.500, 0.000, 0.599)
Tl (0.500, 0.000, 0.801)
Tl (0.500, 0.500, 0.101)
Tl (0.500, 0.500, 0.298)
Tl (0.500, 0.500, 0.500)
Tl (0.500, 0.500, 0.702)
Tl (0.500, 0.500, 0.899)
Cd (0.000, 0.000, 0.500)

Values from the calculation:
As for the magnetic moment: 0.0 Bohr magnetons per cell. As for the space group: P4/mmm, No. 123. For the density of states at the Fermi level, the calculation gives 0.446 states/eV per atom. As for the formation energy: -0.0465 eV per atom.

=====

The following is a GGA-PBE calculation of a relaxed structure of CaZr3Au, from Alexandria via LeMat-Bulk.

abc: 5.286 5.286 5.286
angles: 90.00 90.00 90.00
Atoms (fractional coordinates):
Ca (0.000, 0.000, 0.000)
Zr (0.000, 0.500, 0.500)
Zr (0.500, 0.000, 0.500)
Zr (0.500, 0.500, 0.000)
Au (0.500, 0.500, 0.500)

Values from the calculation:
As for the magnetic moment: 0.0 Bohr magnetons per cell. As for the space group: Pm-3m, No. 221. For the density of states at the Fermi level, the calculation gives 1.616 states/eV per atom. The value obtained for the distance to the lowest polymorph of the same formula is 0 meV per atom. As for the formation energy: 0.4684 eV per atom.

=====

The following is a GGA-PBE calculation of a relaxed structure of Na3HPd4, from Alexandria via LeMat-Bulk.

abc: 5.687 8.999 10.860
angles: 87.79 88.12 79.14
Atoms (fractional coordinates):
Na (0.000, 0.000, 0.000)
Na (0.006, 0.735, 0.817)
Na (0.106, 0.566, 0.571)
Na (0.168, 0.279, 0.135)
Na (0.258, 0.346, 0.802)
Na (0.414, 0.259, 0.521)
Na (0.433, 0.066, 0.310)
Na (0.489, 0.492, 0.261)
Na (0.642, 0.824, 0.146)
Na (0.680, 0.023, 0.712)
Na (0.762, 0.834, 0.465)
Na (0.892, 0.534, 0.023)
H (0.036, 0.774, 0.269)
H (0.522, 0.282, 0.991)
H (0.592, 0.742, 0.750)
H (0.885, 0.451, 0.422)
Pd (0.094, 0.030, 0.513)
Pd (0.171, 0.051, 0.757)
Pd (0.198, 0.732, 0.122)
Pd (0.281, 0.768, 0.388)
Pd (0.382, 0.797, 0.631)
Pd (0.437, 0.495, 0.989)
Pd (0.442, 0.792, 0.898)
Pd (0.469, 0.080, 0.959)
Pd (0.626, 0.543, 0.506)
Pd (0.644, 0.540, 0.756)
Pd (0.693, 0.227, 0.133)
Pd (0.781, 0.268, 0.872)
Pd (0.875, 0.270, 0.368)
Pd (0.893, 0.292, 0.627)
Pd (0.969, 0.576, 0.302)
Pd (0.970, 0.994, 0.269)

Values from the calculation:
As for the magnetic moment: 0.0 Bohr magnetons per cell. As for the space group: P1, No. 1. For the density of states at the Fermi level, the calculation gives 0.349 states/eV per atom. Its total energy is -3.651 eV/atom.

=====

The following is a GGA-PBE calculation of a relaxed structure of LaBiSb3, from Alexandria via LeMat-Bulk.

abc: 5.992 5.992 5.992
angles: 90.00 90.00 90.00
Atoms (fractional coordinates):
La (0.000, 0.000, 0.000)
Bi (0.500, 0.500, 0.500)
Sb (0.000, 0.000, 0.500)
Sb (0.000, 0.500, 0.000)
Sb (0.500, 0.000, 0.000)

Values from the calculation:
As for the magnetic moment: 0.0 Bohr magnetons per cell. As for the space group: Pm-3m, No. 221. The raw formation energy comes out at 619.5 meV/atom. For the density of states at the Fermi level, the calculation gives 1.374 states/eV per atom. The value obtained for the distance to the lowest polymorph of the same formula is 304 meV per atom.

=====

The following is a GGA-PBE calculation of a relaxed structure of TiGaP2S, from Alexandria via LeMat-Bulk.

abc: 4.760 4.760 4.700
angles: 90.00 90.00 90.00
Atoms (fractional coordinates):
Ti (0.000, 0.000, 0.000)
Ga (0.500, 0.500, 0.500)
P (0.000, 0.500, 0.000)
P (0.500, 0.000, 0.000)
S (0.000, 0.000, 0.500)

Values from the calculation:
As for the magnetic moment: 0.0 Bohr magnetons per cell. As for the space group: P4/mmm, No. 123. The raw formation energy comes out at 16.4 meV/atom. For the density of states at the Fermi level, the calculation gives 0.698 states/eV per atom. The value obtained for the distance to the lowest polymorph of the same formula is 0 meV per atom.